Computed, not measured: crystalline CeNbTe3 at its relaxed geometry at the PBE-GGA level of DFT.

Structure (POSCAR):
```
CeNbTe3
1.0
7.910 -1.999 0.000
7.910 1.999 0.000
-0.217 0.000 8.986
Ce Nb Te
2 2 6
direct
0.103 0.103 0.397
0.897 0.897 0.603
0.290 0.290 0.111
0.710 0.710 0.889
0.117 0.117 0.037
0.248 0.248 0.667
0.445 0.445 0.325
0.555 0.555 0.675
0.752 0.752 0.333
0.883 0.883 0.963
```

## Properties
- uncorrected formation energy (eV/atom) = -0.907
- space group = C2/m (12)
- electronic total energy (Ry per atom) = -0.4404